A relaxed structure of BeV2FeMo. Source: Alexandria, functional GGA-PBE.

The calculation puts the density of states at the Fermi level at 5.6 states/eV/cell. The total energy comes out at -7.461 eV per atom. As for the formation energy: 790 meV per atom.

It has space group P4/mmm (No. 123), with a = 4.0346 Å, b = 4.0346 Å, c = 4.2644 Å, α = 90.00°, β = 90.00° and γ = 90.00°. The inequivalent atoms are Be at (0.0000, 0.0000, 0.0000), V at (0.0000, 0.5000, 0.0000), Fe at (0.5000, 0.5000, 0.5000) and Mo at (0.0000, 0.0000, 0.5000).